# 1
Compound: PbS
Source: Alexandria
Functional: PBEsol
Structure: optimized geometry

Cell and atoms, written as POSCAR:
```
PbS
1.0
5.8334 0.0000 0.0000
0.0000 3.9856 0.0000
-0.8441 0.0000 9.6804
Pb S
4 4
Cartesian
1.0106 0.9964 3.8448
0.6964 2.9892 8.6518
4.2929 0.9964 1.0286
3.9787 2.9892 5.8356
0.1994 2.9892 1.5418
1.0153 2.9892 5.7511
3.9740 0.9964 3.9292
4.7899 0.9964 8.1385
```

=====

# 2
Compound: Sb8Pb3S15
Source: Alexandria
Functional: PBEsol
Structure: optimized geometry

Cell and atoms, written as POSCAR:
```
Sb8Pb3S15
1.0
6.6507 -5.7220 0.0000
6.6507 5.7220 0.0000
-1.4756 0.0000 17.0344
Sb Pb S
16 6 30
Cartesian
0.5908 0.5274 7.1746
3.4180 2.8162 16.0317
-0.1470 -0.5274 15.6918
5.2069 2.0287 2.6363
4.1939 1.5333 8.3910
7.6702 2.8162 9.5199
7.3568 2.0287 5.8809
8.3698 1.5333 0.1262
3.4562 -1.5333 16.9082
4.4691 -2.0287 11.1535
4.1557 -2.8162 7.5145
7.6320 -1.5333 8.6434
6.6191 -2.0287 14.3981
11.9729 0.5274 1.3426
8.4079 -2.8162 1.0027
11.2351 -0.5274 9.8598
1.5366 0.8434 11.4134
2.2744 -0.8434 2.8962
5.5441 1.5315 12.7758
6.2818 -1.5315 4.2586
9.5515 0.8434 14.1382
10.2893 -0.8434 5.6210
1.7723 1.9866 14.3130
3.2448 2.9535 10.2352
4.5337 4.1985 14.2580
5.5576 4.1201 7.8551
7.0061 4.1201 0.6621
6.2818 3.6541 4.2586
6.5545 4.1985 11.2936
3.4324 0.3843 0.5950
2.6946 -0.3843 9.1122
4.3587 0.5356 4.3603
4.9495 0.8743 15.5802
2.5101 -1.9866 5.7958
3.6210 -0.5356 12.8775
7.8433 2.9535 15.3164
6.1387 0.8743 9.9714
5.6873 -0.8743 7.0630
3.9826 -2.9535 1.7180
8.2050 0.5356 4.1569
9.3159 1.9866 11.2386
6.8764 -0.8743 1.4542
7.4672 -0.5356 12.6740
9.1313 0.3843 7.9222
8.3935 -0.3843 16.4393
5.2715 -4.1985 5.7408
5.5441 -3.6541 12.7758
4.8198 -4.1201 16.3723
6.2683 -4.1201 9.1793
7.2922 -4.1985 2.7764
8.5811 -2.9535 6.7992
10.0536 -1.9866 2.7214
```

=====

# 3
Compound: Sb8Pb5S17
Source: Alexandria
Functional: PBEsol
Structure: optimized geometry

Cell and atoms, written as POSCAR:
```
Sb8Pb5S17
1.0
6.7027 -5.8130 0.0000
6.7027 5.8130 0.0000
-5.6706 0.0000 18.9831
Sb Pb S
16 10 34
Cartesian
1.5957 5.5880 17.0291
3.3039 5.5880 11.4456
-2.1125 2.1815 17.3910
3.8850 2.2602 8.9787
6.6851 2.2602 0.5128
1.3914 1.4139 15.8466
0.7228 -2.1815 7.8994
3.5082 1.4139 12.6281
4.2267 -1.4139 6.3550
7.0121 2.1815 11.0837
6.3435 -1.4139 3.1365
1.0497 -2.2602 18.4703
3.8498 -2.2602 10.0044
9.8474 -2.1815 1.5922
4.4310 -5.5880 7.5375
6.1392 -5.5880 1.9540
1.2545 1.5146 6.0833
0.4142 0.9956 10.4697
5.2851 2.1371 4.7458
3.2495 -0.9956 0.9781
-1.5808 -1.5146 15.5749
9.3157 1.5146 3.4082
4.4853 0.9956 18.0050
2.4498 -2.1371 14.2374
7.3206 -0.9956 8.5135
6.4804 -1.5146 12.8998
1.3973 1.0116 0.0483
-3.1848 0.8991 15.5843
-0.3967 3.1516 15.8194
1.7814 3.5946 10.7089
2.9889 3.6266 7.1160
-0.3495 -0.8991 6.0927
-1.4380 -1.0116 9.5399
2.4498 3.0524 14.2374
4.6369 1.6069 1.9452
7.5813 3.6266 2.3755
3.1182 3.5946 17.7658
3.3569 0.0686 4.6123
2.4442 0.2429 8.3486
0.5216 -0.0686 14.1039
-0.3911 -0.2429 17.8402
5.2963 3.1516 12.6553
5.9333 1.6069 7.5464
1.8016 -1.6069 11.4367
2.4386 -3.1516 6.3279
8.1259 0.2429 1.1429
7.2132 0.0686 4.8792
5.2907 -0.2429 10.6345
4.3779 -0.0686 14.3708
4.6167 -3.5946 1.2173
0.1536 -3.6266 16.6076
3.0980 -1.6069 17.0380
5.2851 -3.0524 4.7458
9.1728 1.0116 9.4433
8.0844 0.8991 12.8904
4.7460 -3.6266 11.8671
5.9535 -3.5946 8.2743
8.1316 -3.1516 3.1637
10.9196 -0.8991 3.3989
6.3375 -1.0116 18.9348
```

=====

# 4
Compound: Sb2Pb2S5
Source: Alexandria
Functional: PBEsol
Structure: optimized geometry

Cell and atoms, written as POSCAR:
```
Sb2Pb2S5
1.0
19.6001 0.0000 0.0000
0.0000 3.9635 0.0000
0.0000 0.0000 11.1726
Sb Pb S
8 8 20
Cartesian
0.5121 0.9909 2.2860
2.5312 0.9909 9.8896
7.2689 2.9726 4.3034
9.2880 2.9726 7.8723
10.3121 0.9909 3.3003
12.3312 0.9909 6.8692
17.0689 2.9726 1.2829
19.0880 2.9726 8.8866
1.9168 2.9726 5.6296
4.1263 2.9726 1.9391
5.6737 0.9909 7.5254
7.8833 0.9909 0.0433
11.7168 2.9726 11.1292
13.9263 2.9726 3.6471
15.4738 0.9909 9.2334
17.6833 0.9909 5.5429
0.4072 0.9909 7.1445
1.5248 2.9726 0.7403
2.5987 0.9909 3.5686
3.3123 2.9726 8.4135
4.6314 0.9909 11.1148
5.1687 2.9726 5.5286
6.4877 0.9909 2.8272
7.2013 2.9726 9.1549
8.2752 0.9909 6.3266
9.3928 2.9726 1.5582
10.2073 0.9909 9.6144
11.3248 2.9726 4.8460
12.3987 0.9909 2.0176
13.1123 2.9726 8.3453
14.4314 0.9909 5.6440
14.9687 2.9726 0.0577
16.2877 0.9909 2.7591
17.0014 2.9726 7.6039
18.0753 0.9909 10.4323
19.1928 2.9726 4.0281
```

=====

# 5
Compound: Sb4Pb4S11
Source: Alexandria
Functional: PBEsol
Structure: optimized geometry

Cell and atoms, written as POSCAR:
```
Sb4Pb4S11
1.0
15.0425 0.0000 0.0000
0.0000 15.2611 0.0000
0.0000 0.0000 3.9054
Sb Pb S
8 8 22
Cartesian
0.0281 3.4937 0.0000
1.8881 15.0499 0.0000
5.6332 7.4194 0.0000
7.4931 11.1242 0.0000
7.5494 4.1369 0.0000
9.4093 7.8418 0.0000
13.1544 0.2112 0.0000
15.0144 11.7675 0.0000
1.8565 6.7205 1.9527
3.6899 2.9093 1.9527
3.8314 10.5399 1.9527
5.6648 14.3511 1.9527
9.3777 0.9101 1.9527
11.2111 4.7213 1.9527
11.3526 12.3518 1.9527
13.1860 8.5406 1.9527
0.0000 7.6306 0.0000
0.6901 10.1943 1.9527
1.0630 1.6744 1.9527
2.2537 4.5313 0.0000
2.5642 13.4594 1.9527
3.4127 8.4564 0.0000
4.1086 0.8258 0.0000
4.9570 5.8288 1.9527
5.2675 12.1618 0.0000
6.4583 9.3050 1.9527
6.8312 2.5637 1.9527
7.5212 0.0000 0.0000
8.2113 12.6975 1.9527
8.5842 5.9562 1.9527
9.7750 3.0993 0.0000
10.0855 9.4323 1.9527
10.9339 14.4354 0.0000
11.6298 6.8048 0.0000
12.4782 1.8018 1.9527
12.7887 10.7299 0.0000
13.9795 13.5867 1.9527
14.3524 5.0669 1.9527
```

=====

# 6
Compound: Sb8Pb7S19
Source: Alexandria
Functional: PBEsol
Structure: optimized geometry

Cell and atoms, written as POSCAR:
```
Sb8Pb7S19
1.0
6.7443 -5.8774 0.0000
6.7443 5.8774 0.0000
-0.3589 0.0000 21.0514
Sb Pb S
16 14 38
Cartesian
1.5148 1.1428 10.4866
5.2997 3.6453 14.2163
1.3353 -1.1428 21.0123
4.5931 1.4104 8.3928
7.6506 3.6453 17.3608
5.1963 0.2041 1.0618
5.0169 -0.2041 11.5875
4.4137 -1.4104 18.9185
8.7161 1.4104 2.1329
8.1129 0.2041 9.4639
7.9335 -0.2041 19.9896
5.4792 -3.6453 3.6906
8.5367 -1.4104 12.6586
11.7944 1.1428 0.0391
7.8301 -3.6453 6.8351
11.6150 -1.1428 10.5648
4.4269 3.2071 19.4458
5.5734 3.8621 2.7442
2.3780 0.7803 14.5208
7.7358 3.8621 7.7815
2.5574 -0.7803 3.9951
8.5234 3.2071 12.1313
6.6546 0.0589 5.2628
6.4752 -0.0589 15.7885
4.6064 -3.2071 8.9201
10.5724 0.7803 17.0563
5.3940 -3.8621 13.2699
10.7518 -0.7803 6.5306
7.5564 -3.8621 18.3072
8.7029 -3.2071 1.6056
0.5307 0.0879 1.7489
0.3512 -0.0879 12.2746
6.4752 5.2125 15.7885
3.4627 1.9270 12.0716
2.6733 1.1979 20.5618
4.5014 2.1040 15.9116
2.7995 0.4569 6.7813
5.5032 2.6429 6.4830
4.2797 1.3252 3.0288
2.6200 -0.4569 17.3070
6.7051 2.6266 0.5191
6.6041 2.6266 10.0066
2.8528 -1.1979 10.0361
7.8060 2.6429 4.0426
5.8887 0.6083 18.5771
4.1003 -1.3252 13.5545
3.6422 -1.9270 1.5459
8.4489 2.1040 15.6655
7.0616 0.6083 13.0000
6.0682 -0.6083 8.0514
4.6808 -2.1040 5.3859
9.4876 1.9270 19.5055
9.0295 1.3252 7.4969
7.2411 -0.6083 2.4743
5.3238 -2.6429 17.0087
10.2770 1.1979 11.0153
6.5257 -2.6266 11.0448
6.4247 -2.6266 20.5323
10.5098 0.4569 3.7444
8.8501 -1.3252 18.0226
7.6266 -2.6429 14.5683
10.3303 -0.4569 14.2701
8.6284 -2.1040 5.1398
10.4564 -1.1979 0.4896
9.6671 -1.9270 8.9798
6.6546 -5.2125 5.2628
12.7786 0.0879 8.7768
12.5991 -0.0879 19.3025
```

=====

# 7
Compound: ScPbS2
Source: Alexandria
Functional: PBEsol
Structure: optimized geometry

Cell and atoms, written as POSCAR:
```
ScPbS2
1.0
1.8107 1.0454 8.4375
-1.8107 1.0454 8.4375
0.0000 -2.0908 8.4375
Sc Pb S
1 1 2
Cartesian
0.0000 0.0000 0.0000
0.0000 0.0000 12.6562
0.0000 0.0000 9.8683
0.0000 0.0000 15.4441
```

=====

# 8
Compound: ScPbS3
Source: Alexandria
Functional: PBEsol
Structure: optimized geometry

Cell and atoms, written as POSCAR:
```
ScPbS3
1.0
4.8745 0.0000 0.0000
0.0000 4.8745 0.0000
0.0000 0.0000 4.8745
Sc Pb S
1 1 3
Cartesian
0.0000 0.0000 0.0000
2.4372 2.4372 2.4372
0.0000 0.0000 2.4372
0.0000 2.4372 0.0000
2.4372 0.0000 0.0000
```

=====

# 9
Compound: Pb2SeS
Source: Alexandria
Functional: PBEsol
Structure: optimized geometry

Cell and atoms, written as POSCAR:
```
Pb2SeS
1.0
2.1168 1.2222 6.9125
-2.1168 1.2222 6.9125
0.0000 -2.4443 6.9125
Pb Se S
2 1 1
Cartesian
0.0000 0.0000 5.1161
0.0000 0.0000 15.6215
0.0000 0.0000 0.0000
0.0000 0.0000 10.3688
```

Energy relative to the lowest polymorph listed for this composition ... 0.000 eV/atom

=====

# 10
Compound: Pb2SeS
Source: Alexandria
Functional: PBEsol
Structure: optimized geometry

Cell and atoms, written as POSCAR:
```
Pb2SeS
1.0
4.2373 0.0000 0.0000
0.0000 4.2373 0.0000
0.0000 0.0000 5.9937
Pb Se S
2 1 1
Cartesian
0.0000 0.0000 0.0000
2.1186 2.1186 2.9968
0.0000 0.0000 2.9968
2.1186 2.1186 0.0000
```

Energy relative to the lowest polymorph listed for this composition ... 0.010 eV/atom

=====

# 11
Compound: Sn3PbS
Source: Alexandria
Functional: PBEsol
Structure: optimized geometry

Cell and atoms, written as POSCAR:
```
Sn3PbS
1.0
5.6757 0.0000 0.0000
0.0000 5.6757 0.0000
0.0000 0.0000 5.6757
Sn Pb S
3 1 1
Cartesian
0.0000 0.0000 2.8379
0.0000 2.8379 0.0000
2.8379 0.0000 0.0000
0.0000 0.0000 0.0000
2.8379 2.8379 2.8379
```

=====

# 12
Compound: SnPbS3
Source: Alexandria
Functional: PBEsol
Structure: optimized geometry

Cell and atoms, written as POSCAR:
```
SnPbS3
1.0
8.5716 0.0000 0.0000
0.0000 3.8016 0.0000
0.0000 0.0000 13.9456
Sn Pb S
4 4 12
Cartesian
1.4668 0.9504 0.7452
2.8190 2.8512 7.7180
5.7526 0.9504 6.2276
7.1048 2.8512 13.2004
0.1521 2.8512 4.5401
4.1337 0.9504 11.5129
4.4379 2.8512 2.4327
8.4195 0.9504 9.4055
0.1659 0.9504 12.4566
1.3114 0.9504 6.8730
1.7972 2.8512 9.9847
2.4886 0.9504 3.0118
2.9744 2.8512 13.8458
4.1199 2.8512 5.4838
4.4517 0.9504 8.4619
5.5972 0.9504 0.0998
6.0830 2.8512 10.9338
6.7744 0.9504 3.9610
7.2602 2.8512 7.0726
8.4057 2.8512 1.4891
```

=====

# 13
Compound: SnTePb4S4
Source: Alexandria
Functional: PBEsol
Structure: optimized geometry

Cell and atoms, written as POSCAR:
```
SnTePb4S4
1.0
2.1094 1.2179 17.1872
-2.1094 1.2179 17.1872
0.0000 -2.4357 17.1872
Sn Te Pb S
1 1 4 4
Cartesian
0.0000 0.0000 0.0000
0.0000 0.0000 15.2620
0.0000 0.0000 9.8916
0.0000 0.0000 20.4025
0.0000 0.0000 30.4125
0.0000 0.0000 40.9249
0.0000 0.0000 4.8647
0.0000 0.0000 25.3999
0.0000 0.0000 35.8908
0.0000 0.0000 45.9335
```

=====

# 14
Compound: Sr3PbS4
Source: Alexandria
Functional: PBEsol
Structure: optimized geometry

Cell and atoms, written as POSCAR:
```
Sr3PbS4
1.0
4.2127 0.0000 0.0000
0.0000 5.9502 0.0000
0.0000 0.0000 8.4348
Sr Pb S
3 1 4
Cartesian
0.0000 0.0000 0.0000
2.1064 2.9751 2.1218
2.1064 2.9751 6.3130
0.0000 0.0000 4.2174
0.0000 2.9751 0.0000
0.0000 2.9751 4.2174
2.1064 0.0000 2.0972
2.1064 0.0000 6.3376
```

=====

no.,formation energy (no corrections) (eV/f.u.)
1,-0.9
2,-8.8
3,-11.0
4,-3.5
5,-5.9
6,-12.9
7,-5.1
8,-4.1
9,-2.1
10,-2.1
11,4.8
12,-2.3
13,-4.7
14,-14.2